No. 1
Below is an optimized crystal structure of FeWS3, with properties calculated at the GGA-PBE level.

Unit cell a=4.673 b=4.673 c=4.673 alpha=90.00 beta=90.00 gamma=90.00
Sites, in units of the cell vectors:
Fe1 0.000 0.000 0.000
W1 0.500 0.500 0.500
S1 0.000 0.500 0.500
S2 0.500 0.000 0.500
S3 0.500 0.500 0.000

Output
Symmetry: Pm-3m
ΔE to the lowest computed polymorph in meV/atom: 0.0
Crystal system: cubic
E_form (uncorrected) in eV/atom: 0.509
DOS(E_F) in states/eV per cell: 4.742
Raw total energy in eV/atom: -6.251


No. 2
Below is an optimized crystal structure of MgCr2Tc, with properties calculated at the GGA-PBE level.

Unit cell a=2.996 b=4.354 c=8.571 alpha=90.00 beta=90.00 gamma=90.00
Sites, in units of the cell vectors:
Mg1 0.000 0.000 0.000
Mg2 0.500 0.500 0.000
Cr1 0.000 0.000 0.483
Cr2 0.000 0.500 0.273
Cr3 0.500 0.000 0.273
Cr4 0.500 0.500 0.483
Tc1 0.000 0.500 0.722
Tc2 0.500 0.000 0.722

Output
Symmetry: Cmm2
Crystal system: orthorhombic
Energy relative to the elements in eV per atom: 0.243
DOS(E_F) in states/eV per cell: 6.470
Raw total energy in eV/atom: -7.559


Please write out number 2 again, unchanged.
Below is an optimized crystal structure of MgCr2Tc, with properties calculated at the GGA-PBE level.

Unit cell a=2.996 b=4.354 c=8.571 alpha=90.00 beta=90.00 gamma=90.00
Sites, in units of the cell vectors:
Mg1 0.000 0.000 0.000
Mg2 0.500 0.500 0.000
Cr1 0.000 0.000 0.483
Cr2 0.000 0.500 0.273
Cr3 0.500 0.000 0.273
Cr4 0.500 0.500 0.483
Tc1 0.000 0.500 0.722
Tc2 0.500 0.000 0.722

Output
Symmetry: Cmm2
Crystal system: orthorhombic
Energy relative to the elements in eV per atom: 0.243
DOS(E_F) in states/eV per cell: 6.470
Raw total energy in eV/atom: -7.559